# 1
## AcScNi (GGA-PBE)

Data for AcScNi after structural relaxation.

POSCAR file:
```
AcScNi
1.0
6.820 0.000 0.000
0.000 6.820 0.000
0.000 0.000 6.820
Ac Sc Ni
4 4 4
direct
0.000 0.000 0.000
0.000 0.500 0.500
0.500 0.000 0.500
0.500 0.500 0.000
0.000 0.000 0.500
0.000 0.500 0.000
0.500 0.000 0.000
0.500 0.500 0.500
0.250 0.250 0.250
0.250 0.750 0.750
0.750 0.250 0.750
0.750 0.750 0.250
```

Results
- Energy of formation: 0.018 eV per atom
- Energy relative to the lowest polymorph listed for this composition: 0 meV/atom



# 2
## NaCo3S5 (GGA-PBE)

Data for NaCo3S5 after structural relaxation.

POSCAR file:
```
NaCo3S5
1.0
5.412 0.000 0.000
-2.706 4.687 0.000
0.000 0.000 6.453
Na Co S
1 3 5
direct
0.000 0.000 0.000
0.000 0.500 0.500
0.500 0.000 0.500
0.500 0.500 0.500
0.000 0.000 0.500
0.333 0.667 0.259
0.333 0.667 0.741
0.667 0.333 0.259
0.667 0.333 0.741
```

Results
- Final energy: -46.28 eV per formula unit



# 3
## ErO2 (GGA-PBE)

Data for ErO2 after structural relaxation.

POSCAR file:
```
ErO2
1.0
0.000 4.814 4.814
4.814 0.000 4.814
4.814 4.814 0.000
Er O
2 4
direct
0.125 0.125 0.125
0.875 0.875 0.875
0.000 0.000 0.000
0.000 0.000 0.500
0.000 0.500 0.000
0.500 0.000 0.000
```

Results
- Final energy: -21.20 eV per formula unit



# 4
## PtPbAu2 (GGA-PBE)

Data for PtPbAu2 after structural relaxation.

POSCAR file:
```
PtPbAu2
1.0
6.773 0.000 0.000
0.000 6.773 0.000
0.000 0.000 6.773
Pt Pb Au
4 4 8
direct
0.000 0.000 0.000
0.000 0.500 0.500
0.500 0.000 0.500
0.500 0.500 0.000
0.250 0.250 0.750
0.250 0.750 0.250
0.750 0.250 0.250
0.750 0.750 0.750
0.000 0.000 0.500
0.000 0.500 0.000
0.250 0.250 0.250
0.250 0.750 0.750
0.500 0.000 0.000
0.500 0.500 0.500
0.750 0.250 0.750
0.750 0.750 0.250
```

Results
- Final energy: -16.06 eV per formula unit



# 5
## RbZrPtS3 (GGA-PBE)

Data for RbZrPtS3 after structural relaxation.

POSCAR file:
```
RbZrPtS3
1.0
1.838 -7.658 0.000
1.838 7.658 0.000
0.000 0.000 9.945
Rb Zr Pt S
2 2 2 6
direct
0.250 0.750 0.750
0.750 0.250 0.250
0.000 0.000 0.000
0.000 0.000 0.500
0.470 0.530 0.250
0.530 0.470 0.750
0.066 0.934 0.250
0.380 0.620 0.047
0.380 0.620 0.453
0.620 0.380 0.547
0.620 0.380 0.953
0.934 0.066 0.750
```

Results
- Energy relative to the lowest polymorph listed for this composition: 43 meV/atom



# 6
## Ho2USe (GGA-PBE)

Data for Ho2USe after structural relaxation.

POSCAR file:
```
Ho2USe
1.0
3.399 0.000 0.000
-1.699 2.943 0.000
0.000 0.000 10.480
Ho U Se
2 1 1
direct
0.000 0.000 0.193
0.000 0.000 0.807
0.000 0.000 0.500
0.667 0.333 0.000
```

Results
- Final energy: -24.46 eV per formula unit



# 7
## KTbNdNi2 (GGA-PBE)

Data for KTbNdNi2 after structural relaxation.

POSCAR file:
```
KTbNdNi2
1.0
3.779 0.000 0.000
0.000 4.027 0.000
0.000 0.000 18.119
K Tb Nd Ni
2 2 2 4
direct
0.000 0.000 0.000
0.000 0.500 0.500
0.500 0.000 0.665
0.500 0.500 0.165
0.500 0.000 0.329
0.500 0.500 0.829
0.000 0.000 0.202
0.000 0.000 0.781
0.000 0.500 0.281
0.000 0.500 0.702
```

Results
- Final energy: -22.28 eV per formula unit



# 8
## ErTaTe3 (GGA-PBE)

Data for ErTaTe3 after structural relaxation.

POSCAR file:
```
ErTaTe3
1.0
5.633 0.000 0.000
0.000 5.633 0.000
0.000 0.000 5.633
Er Ta Te
1 1 3
direct
0.000 0.000 0.000
0.500 0.500 0.500
0.000 0.000 0.500
0.000 0.500 0.000
0.500 0.000 0.000
```

Results
- Final energy: -22.06 eV per formula unit